The following is a PBE calculation of a geometry-optimized ZnTc3Ag structure, from Alexandria via LeMat-Bulk.

Values from the calculation:
E_tot   -26.315 eV/cell
E above lowest polymorph   0 meV/atom
Formation energy from the elements   1.782 eV/atom

Structure (CIF):
```
data_ZnTc3Ag
_cell_length_a 4.5096
_cell_length_b 4.5096
_cell_length_c 4.5096
_cell_angle_alpha 90.00
_cell_angle_beta 90.00
_cell_angle_gamma 90.00
_symmetry_space_group_name_H-M 'P 1'
_symmetry_Int_Tables_number 1
loop_
_symmetry_equiv_pos_as_xyz
'x,y,z'
loop_
_atom_site_label
_atom_site_type_symbol
_atom_site_fract_x
_atom_site_fract_y
_atom_site_fract_z
Ag1 Ag 0.5000 0.5000 0.5000
Zn1 Zn 0.0000 0.0000 0.0000
Tc1 Tc 0.0000 0.0000 0.5000
Tc2 Tc 0.0000 0.5000 0.0000
Tc3 Tc 0.5000 0.0000 0.0000
```

=====

The following is a PBE calculation of a geometry-optimized Nd3TeRh structure, from Alexandria via LeMat-Bulk.

Values from the calculation:
E_tot   -116.565 eV/cell
E above lowest polymorph   0 meV/atom
E_form (uncorrected)   -20.04 kcal/mol of atoms

Structure (CIF):
```
data_Nd3TeRh
_cell_length_a 4.2035
_cell_length_b 11.5361
_cell_length_c 12.2459
_cell_angle_alpha 90.00
_cell_angle_beta 90.00
_cell_angle_gamma 90.00
_symmetry_space_group_name_H-M 'P 1'
_symmetry_Int_Tables_number 1
loop_
_symmetry_equiv_pos_as_xyz
'x,y,z'
loop_
_atom_site_label
_atom_site_type_symbol
_atom_site_fract_x
_atom_site_fract_y
_atom_site_fract_z
Nd1 Nd 0.2500 0.8304 0.0382
Nd2 Nd 0.7500 0.1696 0.9618
Nd3 Nd 0.7500 0.3304 0.4618
Nd4 Nd 0.7500 0.0425 0.6176
Te1 Te 0.7500 0.5027 0.6749
Nd5 Nd 0.2500 0.9575 0.3824
Rh1 Rh 0.2500 0.1701 0.5060
Nd6 Nd 0.7500 0.4575 0.1176
Rh2 Rh 0.7500 0.6701 0.9940
Nd7 Nd 0.2500 0.2807 0.7202
Rh3 Rh 0.2500 0.3299 0.0060
Nd8 Nd 0.7500 0.7807 0.7798
Nd9 Nd 0.2500 0.2193 0.2202
Te2 Te 0.2500 0.0027 0.8251
Nd10 Nd 0.2500 0.5425 0.8824
Nd11 Nd 0.2500 0.6696 0.5382
Rh4 Rh 0.7500 0.8299 0.4940
Nd12 Nd 0.7500 0.7193 0.2798
Te3 Te 0.2500 0.4973 0.3251
Te4 Te 0.7500 0.9973 0.1749
```

=====

The following is a PBE calculation of a geometry-optimized TlSnC2 structure, from Alexandria via LeMat-Bulk.

Values from the calculation:
E_tot   -38.452 eV/cell
E above lowest polymorph   0 meV/atom
Formation energy from the elements   1.398 eV/atom

Structure (CIF):
```
data_TlSnC2
_cell_length_a 5.2378
_cell_length_b 5.2378
_cell_length_c 6.3493
_cell_angle_alpha 65.64
_cell_angle_beta 65.64
_cell_angle_gamma 90.00
_symmetry_space_group_name_H-M 'P 1'
_symmetry_Int_Tables_number 1
loop_
_symmetry_equiv_pos_as_xyz
'x,y,z'
loop_
_atom_site_label
_atom_site_type_symbol
_atom_site_fract_x
_atom_site_fract_y
_atom_site_fract_z
Tl1 Tl 0.7500 0.2500 0.5000
Tl2 Tl 0.0000 0.0000 0.0000
Sn1 Sn 0.5000 0.5000 0.0000
C1 C 0.3750 0.3963 0.7500
C2 C 0.6037 0.1250 0.2500
Sn2 Sn 0.2500 0.7500 0.5000
C3 C 0.1463 0.6250 0.2500
C4 C 0.8750 0.8537 0.7500
```